(1)
A plane-wave DFT calculation with PBE was carried out for MnZn2Br after structural relaxation.

Values from the calculation:
Formation energy from raw total energies: 0.24 eV per atom
Calculated volume: 19.483 Å³ per atom
Distance to the lowest polymorph of the same formula: 0.1943 eV/atom
Magnetic moment: 4.2 μB per formula unit

Structure (CIF):
```
data_MnZn2Br
_chemical_formula_sum 'Mn2 Zn4 Br2'
_space_group_name_H-M_alt 'C 1 2/m 1'
_space_group_IT_number 12
_space_group_name_Hall '-C 2y'
_cell_length_a 11.9088
_cell_length_b 3.1521
_cell_length_c 4.4769
_cell_angle_alpha 90.00
_cell_angle_beta 111.95
_cell_angle_gamma 90.00
loop_
_atom_site_label
_atom_site_type_symbol
_atom_site_fract_x
_atom_site_fract_y
_atom_site_fract_z
_atom_site_occupancy
Mn1 Mn 0.0000 0.0000 0.0000 1
Zn1 Zn 0.2219 0.5000 0.2220 1
Br1 Br 0.0000 0.5000 0.5000 1
```

***

(2)
A plane-wave DFT calculation with PBE was carried out for FePt2Se after structural relaxation.

Values from the calculation:
Formation energy from raw total energies: 0.04 eV per atom
Calculated volume: 15.862 Å³ per atom
Magnetic moment: 3.7 μB per formula unit

Structure (CIF):
```
data_FePt2Se
_chemical_formula_sum 'Fe1 Pt2 Se1'
_space_group_name_H-M_alt 'P 4/m m m'
_space_group_IT_number 123
_space_group_name_Hall '-P 4 2'
_cell_length_a 2.8084
_cell_length_b 2.8084
_cell_length_c 8.0444
_cell_angle_alpha 90.00
_cell_angle_beta 90.00
_cell_angle_gamma 90.00
loop_
_atom_site_label
_atom_site_type_symbol
_atom_site_fract_x
_atom_site_fract_y
_atom_site_fract_z
_atom_site_occupancy
Fe1 Fe 0.0000 0.0000 0.0000 1
Pt1 Pt 0.5000 0.5000 0.2201 1
Se1 Se 0.0000 0.0000 0.5000 1
```

***

(3)
A plane-wave DFT calculation with PBE was carried out for AlCr2Mo after structural relaxation.

Values from the calculation:
Calculated volume: 13.791 Å³ per atom
Magnetic moment: 2.8 μB per formula unit
Energy relative to the elements: -0.04 eV/atom

Structure (CIF):
```
data_AlCr2Mo
_chemical_formula_sum 'Al1 Cr2 Mo1'
_space_group_name_H-M_alt 'P 4/m m m'
_space_group_IT_number 123
_space_group_name_Hall '-P 4 2'
_cell_length_a 4.2115
_cell_length_b 4.2115
_cell_length_c 3.1100
_cell_angle_alpha 90.00
_cell_angle_beta 90.00
_cell_angle_gamma 90.00
loop_
_atom_site_label
_atom_site_type_symbol
_atom_site_fract_x
_atom_site_fract_y
_atom_site_fract_z
_atom_site_occupancy
Al1 Al 0.0000 0.0000 0.0000 1
Cr1 Cr 0.0000 0.5000 0.5000 1
Mo1 Mo 0.5000 0.5000 0.0000 1
```

***

(4)
A plane-wave DFT calculation with PBE was carried out for TbCeScTi after structural relaxation.

Values from the calculation:
Calculated volume: 25.497 Å³ per atom
Magnetic moment: 1.2 μB per formula unit
Energy relative to the elements: 0.21 eV/atom

Structure (CIF):
```
data_TbCeScTi
_chemical_formula_sum 'Tb4 Ce4 Sc4 Ti4'
_space_group_name_H-M_alt 'F -4 3 m'
_space_group_IT_number 216
_space_group_name_Hall 'F -4 2 3'
_cell_length_a 7.4166
_cell_length_b 7.4166
_cell_length_c 7.4166
_cell_angle_alpha 90.00
_cell_angle_beta 90.00
_cell_angle_gamma 90.00
loop_
_atom_site_label
_atom_site_type_symbol
_atom_site_fract_x
_atom_site_fract_y
_atom_site_fract_z
_atom_site_occupancy
Tb1 Tb 0.0000 0.0000 0.0000 1
Ce1 Ce 0.0000 0.0000 0.5000 1
Sc1 Sc 0.2500 0.2500 0.7500 1
Ti1 Ti 0.2500 0.2500 0.2500 1
```

***

(5)
A plane-wave DFT calculation with PBE was carried out for AcLa2NdSm5 after structural relaxation.

Values from the calculation:
Calculated volume: 36.073 Å³ per atom
Magnetic moment: 0.0 μB per formula unit
Energy relative to the elements: 0.25 eV/atom

Structure (CIF):
```
data_AcLa2NdSm5
_chemical_formula_sum 'Ac4 La8 Nd4 Sm20'
_space_group_name_H-M_alt 'I 4/m c m'
_space_group_IT_number 140
_space_group_name_Hall '-I 4 2c'
_cell_length_a 8.9352
_cell_length_b 8.9352
_cell_length_c 16.2657
_cell_angle_alpha 90.00
_cell_angle_beta 90.00
_cell_angle_gamma 90.00
loop_
_atom_site_label
_atom_site_type_symbol
_atom_site_fract_x
_atom_site_fract_y
_atom_site_fract_z
_atom_site_occupancy
Ac1 Ac 0.0000 0.5000 0.2500 1
La1 La 0.1166 0.3834 0.0000 1
Nd1 Nd 0.0000 0.0000 0.2500 1
Sm1 Sm 0.0000 0.0000 0.0000 1
Sm2 Sm 0.2160 0.2840 0.3635 1
```

***

(6)
A plane-wave DFT calculation with PBE was carried out for DyTm12Th6 after structural relaxation.

Values from the calculation:
Calculated volume: 34.332 Å³ per atom
Distance to the lowest polymorph of the same formula: 0.2261 eV/atom
Magnetic moment: 0.0 μB per formula unit
Energy relative to the elements: 0.53 eV/atom

Structure (CIF):
```
data_DyTm12Th6
_chemical_formula_sum 'Dy3 Tm36 Th18'
_space_group_name_H-M_alt 'R -3 m'
_space_group_IT_number 166
_space_group_name_Hall '-R 3 2"'
_cell_length_a 14.9997
_cell_length_b 14.9997
_cell_length_c 10.0434
_cell_angle_alpha 90.00
_cell_angle_beta 90.00
_cell_angle_gamma 120.00
loop_
_atom_site_label
_atom_site_type_symbol
_atom_site_fract_x
_atom_site_fract_y
_atom_site_fract_z
_atom_site_occupancy
Dy1 Dy 0.0000 0.0000 0.0000 1
Tm1 Tm 0.0000 0.3884 0.5000 1
Tm2 Tm 0.0787 0.1573 0.2376 1
Th1 Th 0.0830 0.5415 0.2081 1
```

***

(7)
A plane-wave DFT calculation with PBE was carried out for LiY2Cd6 after structural relaxation.

Values from the calculation:
Calculated volume: 23.846 Å³ per atom
Magnetic moment: 0.0 μB per formula unit
Energy relative to the elements: -0.27 eV/atom

Structure (CIF):
```
data_LiY2Cd6
_chemical_formula_sum 'Li1 Y2 Cd6'
_space_group_name_H-M_alt 'P 6/m m m'
_space_group_IT_number 191
_space_group_name_Hall '-P 6 2'
_cell_length_a 8.6060
_cell_length_b 8.6060
_cell_length_c 3.3460
_cell_angle_alpha 90.00
_cell_angle_beta 90.00
_cell_angle_gamma 120.00
loop_
_atom_site_label
_atom_site_type_symbol
_atom_site_fract_x
_atom_site_fract_y
_atom_site_fract_z
_atom_site_occupancy
Li1 Li 0.0000 0.0000 0.0000 1
Y1 Y 0.3333 0.6667 0.0000 1
Cd1 Cd 0.0000 0.3289 0.5000 1
```

***

(8)
A plane-wave DFT calculation with PBE was carried out for PrThGeSe after structural relaxation.

Values from the calculation:
Formation energy from raw total energies: -1.32 eV per atom
Calculated volume: 28.022 Å³ per atom
Magnetic moment: 0.0 μB per formula unit

Structure (CIF):
```
data_PrThGeSe
_chemical_formula_sum 'Pr3 Th3 Ge3 Se3'
_space_group_name_H-M_alt 'R 3 m'
_space_group_IT_number 160
_space_group_name_Hall 'R 3 -2"'
_cell_length_a 4.3063
_cell_length_b 4.3063
_cell_length_c 20.9386
_cell_angle_alpha 90.00
_cell_angle_beta 90.00
_cell_angle_gamma 120.00
loop_
_atom_site_label
_atom_site_type_symbol
_atom_site_fract_x
_atom_site_fract_y
_atom_site_fract_z
_atom_site_occupancy
Pr1 Pr 0.0000 0.0000 0.0000 1
Th1 Th 0.0000 0.0000 0.4928 1
Ge1 Ge 0.0000 0.0000 0.7484 1
Se1 Se 0.0000 0.0000 0.2447 1
```

***

(9)
A plane-wave DFT calculation with PBE was carried out for ErFe2C2 after structural relaxation.

Values from the calculation:
Calculated volume: 11.114 Å³ per atom
Distance to the lowest polymorph of the same formula: 0.0000 eV/atom
Magnetic moment: 0.0 μB per formula unit
Energy relative to the elements: -0.28 eV/atom

Structure (CIF):
```
data_ErFe2C2
_chemical_formula_sum 'Er8 Fe16 C16'
_space_group_name_H-M_alt 'F d d d'
_space_group_IT_number 70
_cell_length_a 5.9385
_cell_length_b 8.3598
_cell_length_c 8.9549
_cell_angle_alpha 90.00
_cell_angle_beta 90.00
_cell_angle_gamma 90.00
loop_
_space_group_symop_operation_xyz
'x,y,z'
'-x,-y,-z'
'-x+1/4,-y+1/4,z'
'x+1/4,y+1/4,-z'
'x,-y+1/4,-z+1/4'
'-x,y+1/4,z+1/4'
'-x+1/4,y,-z+1/4'
'x+1/4,-y,z+1/4'
'x,y+1/2,z+1/2'
'-x,-y+1/2,-z+1/2'
'-x+1/4,-y+3/4,z+1/2'
'x+1/4,y+3/4,-z+1/2'
'x,-y+3/4,-z+3/4'
'-x,y+3/4,z+3/4'
'-x+1/4,y+1/2,-z+3/4'
'x+1/4,-y+1/2,z+3/4'
'x+1/2,y,z+1/2'
'-x+1/2,-y,-z+1/2'
'-x+3/4,-y+1/4,z+1/2'
'x+3/4,y+1/4,-z+1/2'
'x+1/2,-y+1/4,-z+3/4'
'-x+1/2,y+1/4,z+3/4'
'-x+3/4,y,-z+3/4'
'x+3/4,-y,z+3/4'
'x+1/2,y+1/2,z'
'-x+1/2,-y+1/2,-z'
'-x+3/4,-y+3/4,z'
'x+3/4,y+3/4,-z'
'x+1/2,-y+3/4,-z+1/4'
'-x+1/2,y+3/4,z+1/4'
'-x+3/4,y+1/2,-z+1/4'
'x+3/4,-y+1/2,z+1/4'
loop_
_atom_site_label
_atom_site_type_symbol
_atom_site_fract_x
_atom_site_fract_y
_atom_site_fract_z
_atom_site_occupancy
Er1 Er 0.1250 0.1250 0.1250 1
Fe1 Fe 0.1250 0.1250 0.4907 1
C1 C 0.1250 0.3138 0.6250 1
```

***

(10)
A plane-wave DFT calculation with PBE was carried out for BeVBrN2 after structural relaxation.

Values from the calculation:
Formation energy from raw total energies: 0.63 eV per atom
Calculated volume: 14.799 Å³ per atom
Magnetic moment: 0.0 μB per formula unit

Structure (CIF):
```
data_BeVBrN2
_chemical_formula_sum 'Be1 V1 Br1 N2'
_space_group_name_H-M_alt 'P 4/m m m'
_space_group_IT_number 123
_space_group_name_Hall '-P 4 2'
_cell_length_a 3.7150
_cell_length_b 3.7150
_cell_length_c 5.3617
_cell_angle_alpha 90.00
_cell_angle_beta 90.00
_cell_angle_gamma 90.00
loop_
_atom_site_label
_atom_site_type_symbol
_atom_site_fract_x
_atom_site_fract_y
_atom_site_fract_z
_atom_site_occupancy
Be1 Be 0.0000 0.0000 0.0000 1
V1 V 0.5000 0.5000 0.5000 1
Br1 Br 0.5000 0.5000 0.0000 1
N1 N 0.0000 0.5000 0.5000 1
```

***

(11)
A plane-wave DFT calculation with PBE was carried out for YTaAs2 after structural relaxation.

Values from the calculation:
Calculated volume: 20.030 Å³ per atom
Distance to the lowest polymorph of the same formula: 1.0301 eV/atom
Magnetic moment: 1.4 μB per formula unit
Energy relative to the elements: 0.21 eV/atom

Structure (CIF):
```
data_YTaAs2
_chemical_formula_sum 'Y4 Ta4 As8'
_space_group_name_H-M_alt 'F -4 3 m'
_space_group_IT_number 216
_space_group_name_Hall 'F -4 2 3'
_cell_length_a 6.8433
_cell_length_b 6.8433
_cell_length_c 6.8433
_cell_angle_alpha 90.00
_cell_angle_beta 90.00
_cell_angle_gamma 90.00
loop_
_atom_site_label
_atom_site_type_symbol
_atom_site_fract_x
_atom_site_fract_y
_atom_site_fract_z
_atom_site_occupancy
Y1 Y 0.0000 0.0000 0.0000 1
Ta1 Ta 0.2500 0.2500 0.2500 1
As1 As 0.0000 0.0000 0.5000 1
As2 As 0.2500 0.2500 0.7500 1
```

***

(12)
A plane-wave DFT calculation with PBE was carried out for YTmPa after structural relaxation.

Values from the calculation:
Calculated volume: 28.603 Å³ per atom
Distance to the lowest polymorph of the same formula: 0.0000 eV/atom
Magnetic moment: 0.0 μB per formula unit
Energy relative to the elements: 0.12 eV/atom

Structure (CIF):
```
data_YTmPa
_chemical_formula_sum 'Y1 Tm1 Pa1'
_space_group_name_H-M_alt 'P 3 m 1'
_space_group_IT_number 156
_space_group_name_Hall 'P 3 -2"'
_cell_length_a 3.4165
_cell_length_b 3.4165
_cell_length_c 8.4888
_cell_angle_alpha 90.00
_cell_angle_beta 90.00
_cell_angle_gamma 120.00
loop_
_atom_site_label
_atom_site_type_symbol
_atom_site_fract_x
_atom_site_fract_y
_atom_site_fract_z
_atom_site_occupancy
Y1 Y 0.0000 0.0000 0.0000 1
Tm1 Tm 0.3333 0.6667 0.6417 1
Pa1 Pa 0.6667 0.3333 0.3241 1
```

***

Number 1: mass density 5.661 g cm⁻³. Number 2: mass density 13.740 g cm⁻³. Number 3: mass density 6.831 g cm⁻³. Number 4: mass density 6.380 g cm⁻³. Number 5: mass density 7.165 g cm⁻³. Number 6: mass density 9.118 g cm⁻³. Number 7: mass density 6.648 g cm⁻³. Number 8: mass density 7.771 g cm⁻³. Number 9: mass density 9.053 g cm⁻³. Number 10: mass density 3.767 g cm⁻³. Number 11: mass density 8.699 g cm⁻³. Number 12: mass density 9.460 g cm⁻³.